No. 1
The following is a DFT calculation (PBE) of a geometry-optimized KLaNi2Hg structure.

Raw total energy   -2.532 eV per atom
Energy relative to the elements   1.046 eV per atom

abc: 4.9741 4.9741 5.4467
angles: 90.00 90.00 90.00
Closest atoms and distances in Å follow each position.
Space group P4/mmm (No. 123)
Symmetry-distinct sites (fractional):
1 K 0.0000 0.0000 0.0000  4 Ni 2.49, 2 Hg 2.72
2 La 0.5000 0.5000 0.5000  4 Hg 3.52, 8 Ni 3.69
3 Ni 0.0000 0.5000 0.0000  2 K 2.49
4 Hg 0.0000 0.0000 0.5000  2 K 2.72

---

No. 2
The following is a DFT calculation (PBE) of a geometry-optimized MnSnRuS structure.

E_form (uncorrected)   -0.07 eV per atom
Raw total energy   -6.714 eV per atom
Energy relative to the lowest polymorph listed for this composition   0.52 eV/f.u.

abc: 7.5786 2.9681 5.9871
angles: 90.00 94.30 90.00
Closest atoms and distances in Å follow each position.
Space group Cm (No. 8)
Symmetry-distinct sites (fractional):
1 Mn 0.0000 0.0000 0.0000  3 S 2.18-2.20
2 Sn 0.0114 0.0000 0.5645  1 Mn 2.62, 3 Ru 2.72-2.76
3 Ru 0.2028 0.5000 0.2886  2 S 2.36
4 S 0.2907 0.0000 0.0124  3 Mn 2.18-2.20, 2 Ru 2.36

---

No. 3
The following is a DFT calculation (PBE) of a geometry-optimized HgIr2Cl structure.

E_form (uncorrected)   1.06 eV per atom
Raw total energy   -3.911 eV per atom
Energy relative to the lowest polymorph listed for this composition   3.00 eV/f.u.

abc: 2.8641 3.9179 6.0369
angles: 90.00 90.00 90.00
Closest atoms and distances in Å follow each position.
Space group Pmmm (No. 47)
Symmetry-distinct sites (fractional):
1 Hg 0.0000 0.0000 0.0000  2 Hg 2.86, 8 Ir 2.95, 2 Cl 3.02
2 Ir 0.5000 0.5000 0.2776  3 Ir 2.68-2.86, 4 Cl 2.77, 4 Hg 2.95
3 Cl 0.0000 0.0000 0.5000  8 Ir 2.77, 2 Cl 2.86, 2 Hg 3.02